Below is a geometry-optimized KBe2Pt structure, with properties calculated at the PBE level.

Calculated values
excess energy over the best structure of this formula in the dataset: 60.1 kJ per mole of atoms
space-group type: Immm (71)
spin magnetization: 0.00 μB/f.u.
calculated formation energy: 130.3 kJ/mol of formula units
calculated total energy: -3.310 eV/atom

Lattice parameters (Å, degrees): 5.2479 5.2479 5.2479 136.93 110.56 85.31
With the nearest neighbours (Å) after each atom.
Fractional positions:
1 Be 0.8922 0.8922 0.0000  1 Be 2.20, 2 Pt 2.22
2 Be 0.6078 0.6078 0.0000  1 Be 2.20, 2 Pt 2.22
3 K 0.2500 0.7500 0.5000  8 Be 3.18-3.37, 4 Pt 3.56
4 Pt 0.7500 0.2500 0.5000  4 Be 2.22

=====

Below is a geometry-optimized RbPb3F structure, with properties calculated at the PBE level.

Calculated values
excess energy over the best structure of this formula in the dataset: 127.9 kJ per mole of atoms
space-group type: Pm-3m (221)
spin magnetization: 1.55 μB/f.u.
ΔE_f (raw): 0.88 eV per atom
calculated total energy: -1.916 eV/atom

Lattice parameters (Å, degrees): 6.4010 6.4010 6.4010 90.00 90.00 90.00
With the nearest neighbours (Å) after each atom.
Fractional positions:
1 Pb 0.0000 0.5000 0.0000  2 Rb 3.20
2 Pb 0.0000 0.0000 0.5000  2 Rb 3.20
3 Pb 0.5000 0.0000 0.0000  2 Rb 3.20
4 Rb 0.0000 0.0000 0.0000  6 Pb 3.20
5 F 0.5000 0.5000 0.5000  12 Pb 4.53

=====

Below is a geometry-optimized Ag2Pb2Br7 structure, with properties calculated at the PBE level.

Calculated values
excess energy over the best structure of this formula in the dataset: 0.0 kJ per mole of atoms
space-group type: Cm (8)
spin magnetization: 0.65 μB/f.u.
ΔE_f (raw): -0.54 eV per atom
calculated total energy: -2.795 eV/atom

Lattice parameters (Å, degrees): 7.1522 7.4037 7.4037 99.10 89.63 89.63
With the nearest neighbours (Å) after each atom.
Fractional positions:
1 Ag 0.5178 0.2030 0.2030  4 Br 2.61-2.72
2 Ag 0.4715 0.6602 0.6602  4 Br 2.64-2.69
3 Pb 0.0236 0.7578 0.2925  3 Br 2.90-3.10
4 Pb 0.0236 0.2925 0.7578  3 Br 2.90-3.10
5 Br 0.7749 0.0707 0.4191  1 Ag 2.72, 1 Pb 2.94
6 Br 0.7749 0.4191 0.0707  1 Ag 2.72, 1 Pb 2.94
7 Br 0.2791 0.4221 0.4221  2 Ag 2.68-2.70
8 Br 0.2162 0.0520 0.0520  1 Ag 2.61
9 Br 0.8383 0.6303 0.6303  1 Ag 2.64
10 Br 0.2901 0.9420 0.5504  1 Ag 2.69, 1 Pb 2.90
11 Br 0.2901 0.5504 0.9420  1 Ag 2.69, 1 Pb 2.90

=====

Below is a geometry-optimized Cs2Hg4S5 structure, with properties calculated at the PBE level.

Calculated values
space-group type: P-1 (2)
spin magnetization: 0.00 μB/f.u.
ΔE_f (raw): -0.39 eV per atom
calculated total energy: -2.533 eV/atom

Lattice parameters (Å, degrees): 12.7872 7.4964 11.1033 64.48 148.21 129.70
With the nearest neighbours (Å) after each atom.
Fractional positions:
1 Cs 0.1623 0.0594 0.3545  5 S 3.35-3.64
2 Cs 0.8377 0.9406 0.6455  5 S 3.35-3.64
3 Hg 0.4181 0.6590 0.7704  3 S 2.47-2.59
4 Hg 0.5819 0.3410 0.2296  3 S 2.47-2.59
5 Hg 0.6715 0.3067 0.0118  2 S 2.44-2.45
6 Hg 0.3285 0.6933 0.9882  2 S 2.44-2.45
7 S 0.7234 0.9822 0.1268  2 Hg 2.44-2.59
8 S 0.2766 0.0178 0.8732  2 Hg 2.44-2.59
9 S 0.0000 0.5000 0.5000  2 Hg 2.58
10 S 0.3973 0.3939 0.2122  2 Hg 2.45-2.47
11 S 0.6027 0.6061 0.7878  2 Hg 2.45-2.47